VASP calculation (PBE-GGA) on a relaxed structure of NdAl6Ir.

The energy of formation comes out at -516 meV per atom. The calculation puts the total moment at 0.00 μB per atom. The calculation puts the density of states at the Fermi level at 2.8 states/eV/f.u.

It has space group P4/mmm (No. 123), with a = 4.236 Å, b = 4.236 Å, c = 8.592 Å, α = 90.00°, β = 90.00° and γ = 90.00°. The inequivalent atoms are Nd at (0.000, 0.000, 0.000), Al at (0.000, 0.500, 0.336), Al at (0.500, 0.500, 0.145) and Ir at (0.000, 0.000, 0.500).